Entry 1:
# Ca2MoW (GGA-PBE, relaxed)
# formation enthalpy at 0 K = 0.892 eV/atom
# energy above the lowest structure with this stoichiometry = 0.465 eV per atom
# final energy = -6.055 eV per atom
# DOS at the Fermi energy = 0.6288 states/eV per atom
data_Ca2MoW
_cell_length_a 3.8105
_cell_length_b 4.1560
_cell_length_c 10.3939
_cell_angle_alpha 90.00
_cell_angle_beta 90.00
_cell_angle_gamma 90.00
_symmetry_space_group_name_H-M 'C m m m'
_symmetry_Int_Tables_number 65
_symmetry_space_group_name_Hall '-C 2 2'
loop_
_atom_site_label
_atom_site_type_symbol
_atom_site_fract_x
_atom_site_fract_y
_atom_site_fract_z
Ca1 Ca 0.0000 0.0000 0.2502
Mo1 Mo 0.0000 0.5000 0.0000
W1 W 0.0000 0.5000 0.5000

***

Entry 2:
# CaMo2W (GGA-PBE, relaxed)
# formation enthalpy at 0 K = 0.576 eV/atom
# energy above the lowest structure with this stoichiometry = 0.090 eV per atom
# final energy = -8.578 eV per atom
# DOS at the Fermi energy = 0.8219 states/eV per atom
data_CaMo2W
_cell_length_a 2.8211
_cell_length_b 4.4186
_cell_length_c 6.2250
_cell_angle_alpha 90.00
_cell_angle_beta 98.78
_cell_angle_gamma 90.00
_symmetry_space_group_name_H-M 'P 1 2/m 1'
_symmetry_Int_Tables_number 10
_symmetry_space_group_name_Hall '-P 2y'
loop_
_atom_site_label
_atom_site_type_symbol
_atom_site_fract_x
_atom_site_fract_y
_atom_site_fract_z
Ca1 Ca 0.0000 0.0000 0.0000
Mo1 Mo 0.2317 0.5000 0.6936
W1 W 0.5000 0.0000 0.5000

***

Entry 3:
# CaMo2W (GGA-PBE, relaxed)
# formation enthalpy at 0 K = 0.799 eV/atom
# energy above the lowest structure with this stoichiometry = 0.312 eV per atom
# final energy = -8.355 eV per atom
# DOS at the Fermi energy = 0.8325 states/eV per atom
data_CaMo2W
_cell_length_a 2.6714
_cell_length_b 4.8367
_cell_length_c 5.5791
_cell_angle_alpha 90.00
_cell_angle_beta 90.00
_cell_angle_gamma 90.00
_symmetry_space_group_name_H-M 'P m m 2'
_symmetry_Int_Tables_number 25
_symmetry_space_group_name_Hall 'P 2 -2'
loop_
_atom_site_label
_atom_site_type_symbol
_atom_site_fract_x
_atom_site_fract_y
_atom_site_fract_z
Ca1 Ca 0.0000 0.0000 0.0000
Mo1 Mo 0.0000 0.0000 0.5014
Mo2 Mo 0.5000 0.5000 0.2537
W1 W 0.5000 0.5000 0.7277

***

Entry 4:
# CaMo2W (GGA-PBE, relaxed)
# formation enthalpy at 0 K = 0.820 eV/atom
# energy above the lowest structure with this stoichiometry = 0.333 eV per atom
# final energy = -8.335 eV per atom
# DOS at the Fermi energy = 1.4051 states/eV per atom
data_CaMo2W
_cell_length_a 6.5616
_cell_length_b 6.5616
_cell_length_c 6.5616
_cell_angle_alpha 90.00
_cell_angle_beta 90.00
_cell_angle_gamma 90.00
_symmetry_space_group_name_H-M 'F -4 3 m'
_symmetry_Int_Tables_number 216
_symmetry_space_group_name_Hall 'F -4 2 3'
loop_
_atom_site_label
_atom_site_type_symbol
_atom_site_fract_x
_atom_site_fract_y
_atom_site_fract_z
Ca1 Ca 0.0000 0.0000 0.0000
Mo1 Mo 0.0000 0.0000 0.5000
Mo2 Mo 0.2500 0.2500 0.2500
W1 W 0.2500 0.2500 0.7500